Below is a geometry-optimized CaTb4ScS8 structure, with properties calculated at the GGA-PBE level.

Cell lengths 8.097, 8.097, 7.980 Å; angles 59.51, 59.51, 60.00 degrees
Fractional positions:
S 0.232 0.232 0.752
S 0.784 0.232 0.752
S 0.222 0.765 0.248
S 0.765 0.765 0.248
S 0.757 0.757 0.728
S 0.241 0.241 0.278
S 0.232 0.784 0.752
S 0.765 0.222 0.248
Sc 0.003 0.003 0.992
Tb 0.494 0.002 0.502
Tb 0.002 0.494 0.502
Tb 0.002 0.002 0.502
Tb 0.623 0.623 0.132
Ca 0.378 0.378 0.867

Computed properties:
formation energy without anion corrections	-1970	meV/atom
calculated volume	26.23	A^3/atom
final energy	-6.247	eV/atom
M_tot	0.000	μB/cell

---

Below is a geometry-optimized CaSc2TiS structure, with properties calculated at the GGA-PBE level.

Cell lengths 5.013, 4.675, 5.013 Å; angles 90.00, 90.00, 90.00 degrees
Fractional positions:
Sc 0.500 0.000 0.000
Sc 0.000 0.000 0.500
S 0.000 0.000 0.000
Ti 0.000 0.500 0.000
Ca 0.500 0.500 0.500

Computed properties:
formation energy without anion corrections	-463	meV/atom
calculated volume	23.50	A^3/atom
final energy	-5.800	eV/atom
M_tot	0.000	μB/cell

---

Below is a geometry-optimized Ca2ScTlS structure, with properties calculated at the GGA-PBE level.

Cell lengths 5.294, 5.294, 4.945 Å; angles 90.00, 90.00, 90.00 degrees
Fractional positions:
Ca 0.000 0.500 0.000
Ca 0.500 0.000 0.000
S 0.000 0.000 0.000
Tl 0.500 0.500 0.500
Sc 0.000 0.000 0.500

Computed properties:
formation energy without anion corrections	-827	meV/atom
calculated volume	27.72	A^3/atom
final energy	-4.193	eV/atom
M_tot	0.000	μB/cell

---

Below is a geometry-optimized CaSc2TlS structure, with properties calculated at the GGA-PBE level.

Cell lengths 4.890, 4.890, 5.189 Å; angles 90.00, 90.00, 90.00 degrees
Fractional positions:
Tl 0.500 0.500 0.500
Sc 0.500 0.000 0.000
Sc 0.000 0.500 0.000
Ca 0.000 0.000 0.500
S 0.000 0.000 0.000

Computed properties:
formation energy without anion corrections	-804	meV/atom
calculated volume	24.82	A^3/atom
final energy	-5.036	eV/atom
M_tot	0.000	μB/cell

---

Below is a geometry-optimized Ca2TmScS4 structure, with properties calculated at the GGA-PBE level.

Cell lengths 3.867, 6.683, 6.818 Å; angles 109.15, 90.00, 90.00 degrees
Fractional positions:
Sc 0.000 0.000 0.000
S 0.500 0.241 0.234
S 0.500 0.759 0.766
S 0.000 0.250 0.763
S 0.000 0.750 0.237
Ca 0.000 0.500 0.500
Ca 0.500 0.000 0.500
Tm 0.500 0.500 0.000

Computed properties:
formation energy without anion corrections	-2001	meV/atom
calculated volume	20.81	A^3/atom
final energy	-5.916	eV/atom
M_tot	0.000	μB/cell

---

Below is a geometry-optimized Ca3Tm3ScS8 structure, with properties calculated at the GGA-PBE level.

Cell lengths 7.738, 7.738, 7.896 Å; angles 119.34, 90.00, 120.00 degrees
Fractional positions:
Ca 0.000 0.000 0.000
Ca 0.000 0.500 0.000
Ca 0.500 0.500 0.000
S 0.239 0.479 0.730
S 0.747 0.493 0.740
S 0.761 0.521 0.270
S 0.239 0.991 0.730
S 0.761 0.009 0.270
S 0.253 0.507 0.260
S 0.248 0.009 0.270
S 0.752 0.991 0.730
Tm 0.500 0.500 0.500
Tm 0.500 0.000 0.500
Tm 0.000 0.500 0.500
Sc 0.000 0.000 0.500

Computed properties:
formation energy without anion corrections	-2066	meV/atom
calculated volume	22.51	A^3/atom
final energy	-5.984	eV/atom
M_tot	0.000	μB/cell

---

Below is a geometry-optimized Ca2ScUS6 structure, with properties calculated at the GGA-PBE level.

Cell lengths 6.642, 7.166, 9.768 Å; angles 90.00, 89.16, 90.00 degrees
Fractional positions:
S 0.686 0.309 0.567
S 0.816 0.807 0.564
S 0.186 0.191 0.067
S 0.626 0.040 0.247
S 0.684 0.307 0.936
S 0.184 0.193 0.436
S 0.314 0.691 0.433
S 0.316 0.693 0.064
S 0.874 0.540 0.253
S 0.814 0.809 0.933
S 0.374 0.960 0.753
S 0.126 0.460 0.747
Ca 0.468 0.411 0.246
Ca 0.968 0.089 0.746
Ca 0.032 0.911 0.254
Ca 0.532 0.589 0.754
U 0.500 0.000 0.500
U 0.000 0.500 0.000
Sc 0.000 0.500 0.500
Sc 0.500 0.000 0.000

Computed properties:
formation energy without anion corrections	-1756	meV/atom
calculated volume	23.24	A^3/atom
final energy	-6.395	eV/atom
M_tot	2.012	μB/cell

---

Below is a geometry-optimized CaYSc2S4 structure, with properties calculated at the GGA-PBE level.

Cell lengths 3.805, 6.632, 6.629 Å; angles 70.88, 90.00, 90.00 degrees
Fractional positions:
Y 0.500 0.500 0.000
Sc 0.500 0.000 0.500
Sc 0.000 0.000 0.000
S 0.000 0.766 0.745
S 0.000 0.234 0.255
S 0.500 0.767 0.243
S 0.500 0.233 0.757
Ca 0.000 0.500 0.500

Computed properties:
formation energy without anion corrections	-1946	meV/atom
calculated volume	19.76	A^3/atom
final energy	-6.651	eV/atom
M_tot	0.000	μB/cell